# 1
The following is a PBE-GGA calculation of a relaxed Ta2CrHPt crystal, from Alexandria.

Cell lengths 4.2148, 4.2148, 3.6824 Å; angles 90.00, 90.00, 90.00 degrees
Fractional positions:
Pt  0.5000  0.5000  0.5000
Ta  0.0000  0.5000  0.0000
Ta  0.5000  0.0000  0.0000
Cr  0.0000  0.0000  0.5000
H  0.0000  0.0000  0.0000

Results
Magnetic moment, μB per cell: 0.08
Offset from the most stable computed form, eV/atom: 0.000
Space-group type: P4/mmm (123)
Total energy, eV/f.u.: -43.82

---

# 2
The following is a PBE-GGA calculation of a relaxed USbPd2 crystal, from Alexandria.

Cell lengths 3.2952, 3.2952, 7.4043 Å; angles 90.00, 90.00, 90.00 degrees
Fractional positions:
Pd  0.0000  0.0000  0.2553
Pd  0.0000  0.0000  0.7447
U  0.5000  0.5000  0.5000
Sb  0.5000  0.5000  0.0000

Results
Magnetic moment, μB per cell: 0.82
Formation energy without anion corrections, eV per atom: -0.213
Space-group type: P4/mmm (123)
Total energy, eV/f.u.: -26.65